[1]
VASP calculation (PBE) on a relaxed Ce2DyRu2 crystal.

As for the energy relative to the elements: -2.0 eV/f.u. The electronic total energy comes out at -7.40 eV/atom. The energy above the most stable polymorph in this dataset comes out at 0 meV/atom. The calculated volume is 449 Å³/cell.

The space group is C2/c (No. 15) and the conventional cell measures 9.0191, 7.8427 and 6.4557 Å, with angles of 90.00, 100.51 and 90.00 degrees. The inequivalent atoms are Ce at (0.1677, 0.0535, 0.4590), Dy at (0.0000, 0.3714, 0.7500) and Ru at (0.1483, 0.2733, 0.1848).


[2]
VASP calculation (PBE) on a relaxed CeDy4Ru5 crystal.

As for the energy relative to the elements: -3.6 eV/f.u. The electronic total energy comes out at -7.43 eV/atom. The calculated volume is 198 Å³/cell.

The space group is P4/mmm (No. 123) and the conventional cell measures 3.4136, 3.4136 and 17.0194 Å, with angles of 90.00, 90.00 and 90.00 degrees. The inequivalent atoms are Ce at (0.0000, 0.0000, 0.0000), Dy at (0.0000, 0.0000, 0.2032), Dy at (0.0000, 0.0000, 0.4007), Ru at (0.5000, 0.5000, 0.0922), Ru at (0.5000, 0.5000, 0.2990) and Ru at (0.5000, 0.5000, 0.5000).


[3]
VASP calculation (PBE) on a relaxed Ce2DyRu crystal.

As for the energy relative to the elements: -0.3 eV/f.u. The electronic total energy comes out at -6.51 eV/atom. The energy above the most stable polymorph in this dataset comes out at 159 meV/atom. The calculated volume is 101 Å³/cell.

The space group is P4/mmm (No. 123) and the conventional cell measures 3.6581, 3.6581 and 7.5394 Å, with angles of 90.00, 90.00 and 90.00 degrees. The inequivalent atoms are Ce at (0.0000, 0.0000, 0.1916), Dy at (0.5000, 0.5000, 0.5000) and Ru at (0.5000, 0.5000, 0.0000).


[4]
VASP calculation (PBE) on a relaxed Ce2DyRu crystal.

As for the energy relative to the elements: -0.9 eV/f.u. The electronic total energy comes out at -6.67 eV/atom. The energy above the most stable polymorph in this dataset comes out at 0 meV/atom. The calculated volume is 823 Å³/cell.

The space group is Pnma (No. 62) and the conventional cell measures 14.1110, 9.6267 and 6.0549 Å, with angles of 90.00, 90.00 and 90.00 degrees. The inequivalent atoms are Ce at (0.0375, 0.0577, 0.2490), Ce at (0.2121, 0.5632, 0.9395), Dy at (0.1019, 0.2500, 0.7387), Dy at (0.1452, 0.7500, 0.4549), Ru at (0.0746, 0.7500, 0.9761) and Ru at (0.1735, 0.2500, 0.2251).


[5]
VASP calculation (PBE) on a relaxed CeDyRu crystal.

As for the energy relative to the elements: -0.5 eV/f.u. The electronic total energy comes out at -6.79 eV/atom. The energy above the most stable polymorph in this dataset comes out at 78 meV/atom. The calculated volume is 313 Å³/cell.

The space group is F-43m (No. 216) and the conventional cell measures 6.7882, 6.7882 and 6.7882 Å, with angles of 90.00, 90.00 and 90.00 degrees. The inequivalent atoms are Ce at (0.0000, 0.0000, 0.0000), Dy at (0.0000, 0.0000, 0.5000) and Ru at (0.2500, 0.2500, 0.2500).


[6]
VASP calculation (PBE) on a relaxed Ce2DyRu crystal.

As for the energy relative to the elements: -0.2 eV/f.u. The electronic total energy comes out at -6.50 eV/atom. The energy above the most stable polymorph in this dataset comes out at 170 meV/atom. The calculated volume is 337 Å³/cell.

The space group is R3m (No. 160, hexagonal axes) and the conventional cell measures 3.8311, 3.8311 and 26.5288 Å, with angles of 90.00, 90.00 and 120.00 degrees. The inequivalent atoms are Ce at (0.0000, 0.0000, 0.0000), Ce at (0.0000, 0.0000, 0.2104), Dy at (0.0000, 0.0000, 0.7719) and Ru at (0.0000, 0.0000, 0.6062).


The highest electronic total energy belongs to which entry?
number 6


Which formula does entry 5 have?
CeDyRu


What is the energy relative to the elements in the second record?
-3.6 eV/f.u.